1.
Computed, not measured: an optimized crystal structure of AlRe5 at the GGA-PBE level of DFT.

Values from the calculation:
E_form = -12 meV/atom
ΔE to the lowest computed polymorph = 0.0238 eV/atom

Cell: 5.2993 5.2993 6.3254 Å, 75.02 75.02 31.48°
With the nearest neighbours (Å) after each atom.
Positions (direct):
1 Al 0.9930 0.9930 0.0137  10 Re 2.72-2.85, 2 Al 2.88
2 Re 0.3278 0.3278 0.3442  10 Re 2.70-2.89, 2 Al 2.72
3 Re 0.6643 0.6643 0.6769  10 Re 2.66-2.88, 2 Al 2.77
4 Re 0.6200 0.6200 0.2648  2 Al 2.72, 10 Re 2.72-2.89
5 Re 0.9466 0.9466 0.6036  11 Re 2.70-2.88, 1 Al 2.76
6 Re 0.2816 0.2816 0.9302  9 Re 2.66-2.88, 3 Al 2.76-2.85

2.
Computed, not measured: an optimized crystal structure of LiSmEuCo at the GGA-PBE level of DFT.

Values from the calculation:
E_form = 106 meV/atom

Cell: 5.0068 5.0068 5.0068 Å, 60.00 60.00 60.00°
With the nearest neighbours (Å) after each atom.
Positions (direct):
1 Eu 0.7500 0.7500 0.7500  4 Co 3.07, 4 Li 3.07
2 Co 0.5000 0.5000 0.5000  4 Eu 3.07, 4 Sm 3.07
3 Sm 0.2500 0.2500 0.2500  4 Li 3.07, 4 Co 3.07
4 Li 0.0000 0.0000 0.0000  4 Sm 3.07, 4 Eu 3.07

3.
Computed, not measured: an optimized crystal structure of Ac4TbSb5 at the GGA-PBE level of DFT.

Values from the calculation:
Formation energy from raw total energies = -1.176 eV per atom

Cell: 6.7019 8.1838 8.1817 Å, 80.34 65.84 65.82°
With the nearest neighbours (Å) after each atom.
Positions (direct):
1 Ac 0.4047 0.3962 0.7963  6 Sb 3.33-3.43
2 Ac 0.8010 0.7963 0.6038  6 Sb 3.33-3.43
3 Ac 0.2010 0.2037 0.3962  6 Sb 3.33-3.43
4 Ac 0.5972 0.6038 0.2037  6 Sb 3.33-3.43
5 Tb 0.0011 0.0000 0.0000  6 Sb 3.21-3.35
6 Sb 0.9045 0.3848 0.8083  1 Tb 3.21, 5 Ac 3.35-3.43
7 Sb 0.2893 0.8083 0.6152  1 Tb 3.21, 5 Ac 3.35-3.43
8 Sb 0.7127 0.1917 0.3848  1 Tb 3.21, 5 Ac 3.35-3.43
9 Sb 0.0976 0.6152 0.1917  1 Tb 3.21, 5 Ac 3.35-3.43
10 Sb 0.5013 0.0000 0.0000  4 Ac 3.33, 2 Tb 3.35

4.
Computed, not measured: an optimized crystal structure of TbNdRu4 at the GGA-PBE level of DFT.

Values from the calculation:
E_form = -206 meV/atom

Cell: 5.3861 5.3861 5.3861 Å, 60.00 60.00 60.00°
With the nearest neighbours (Å) after each atom.
Positions (direct):
1 Nd 0.2500 0.2500 0.2500  12 Ru 3.16, 4 Tb 3.30
2 Tb 0.0000 0.0000 0.0000  12 Ru 3.16, 4 Nd 3.30
3 Ru 0.6252 0.6252 0.1244  6 Ru 2.69-2.70
4 Ru 0.6252 0.1244 0.6252  6 Ru 2.69-2.70
5 Ru 0.6252 0.6252 0.6252  6 Ru 2.69-2.70
6 Ru 0.1244 0.6252 0.6252  6 Ru 2.69-2.70

5.
Computed, not measured: an optimized crystal structure of Ho6ErCd at the GGA-PBE level of DFT.

Values from the calculation:
E_form = 55 meV/atom

Cell: 9.1656 8.5039 6.2513 Å, 47.16 42.83 57.35°
With the nearest neighbours (Å) after each atom.
Positions (direct):
1 Ho 0.0398 0.4502 0.7522  1 Cd 3.13, 2 Ho 3.20-3.23, 1 Er 3.42
2 Ho 0.7579 0.9603 0.7319  1 Cd 3.13, 2 Ho 3.20-3.23, 1 Er 3.43
3 Ho 0.5497 0.2422 0.1683  1 Cd 3.13, 2 Ho 3.21-3.23, 1 Er 3.42
4 Ho 0.2421 0.0397 0.2681  1 Cd 3.13, 2 Ho 3.20-3.23, 1 Er 3.43
5 Ho 0.9602 0.5498 0.2478  1 Cd 3.13, 2 Ho 3.20-3.23, 1 Er 3.42
6 Ho 0.4503 0.7578 0.8317  1 Cd 3.13, 2 Ho 3.21-3.23, 1 Er 3.42
7 Er 0.5000 0.5000 0.5000  12 Ho 3.42-3.61
8 Cd 0.0000 0.0000 0.0000  6 Ho 3.13

6.
Computed, not measured: an optimized crystal structure of Ce4DyAs5 at the GGA-PBE level of DFT.

Values from the calculation:
E_form = -1444 meV/atom

Cell: 5.9392 7.2702 7.2702 Å, 80.40 65.89 65.89°
With the nearest neighbours (Å) after each atom.
Positions (direct):
1 Ce 0.4018 0.3988 0.7995  6 As 2.96-2.98
2 Ce 0.8006 0.7995 0.6012  6 As 2.96-2.98
3 Ce 0.2013 0.2005 0.3988  6 As 2.96-2.98
4 Ce 0.6001 0.6012 0.2005  6 As 2.96-2.98
5 Dy 0.0012 0.0000 0.0000  6 As 2.95-2.97
6 As 0.9014 0.3973 0.8020  1 Dy 2.95, 5 Ce 2.97-2.98
7 As 0.2987 0.8020 0.6027  1 Dy 2.95, 5 Ce 2.97-2.98
8 As 0.7033 0.1980 0.3973  1 Dy 2.95, 5 Ce 2.97-2.98
9 As 0.1006 0.6027 0.1980  1 Dy 2.95, 5 Ce 2.97-2.98
10 As 0.5012 0.0000 0.0000  4 Ce 2.96, 2 Dy 2.97

7.
Computed, not measured: an optimized crystal structure of La4Tl2Ag3 at the GGA-PBE level of DFT.

Values from the calculation:
E_form = -304 meV/atom

Cell: 5.1739 5.9196 9.5390 Å, 76.05 90.00 64.10°
With the nearest neighbours (Å) after each atom.
Positions (direct):
1 La 0.6423 0.7154 0.9008  3 Ag 3.17-3.26, 3 Tl 3.38-3.51
2 La 0.0657 0.8687 0.3542  4 Ag 3.10-3.26, 3 Tl 3.35-3.44, 1 La 3.43
3 La 0.9343 0.1313 0.6458  4 Ag 3.10-3.26, 3 Tl 3.35-3.44, 1 La 3.43
4 La 0.3577 0.2846 0.0992  3 Ag 3.17-3.26, 3 Tl 3.38-3.51
5 Tl 0.2692 0.4617 0.7310  3 Ag 3.17-3.27, 6 La 3.35-3.51
6 Tl 0.7308 0.5383 0.2690  3 Ag 3.17-3.27, 6 La 3.35-3.51
7 Ag 0.3678 0.2643 0.4344  1 Ag 2.76
8 Ag 0.0000 0.0000 0.0000  6 La 3.26
9 Ag 0.6322 0.7357 0.5656  1 Ag 2.76

8.
Computed, not measured: an optimized crystal structure of Mn2CdCl at the GGA-PBE level of DFT.

Values from the calculation:
Formation energy from raw total energies = 0.204 eV per atom
ΔE to the lowest computed polymorph = 0.1986 eV/atom

Cell: 3.1199 3.1199 8.6161 Å, 90.00 90.00 118.44°
With the nearest neighbours (Å) after each atom.
Positions (direct):
1 Cl 0.5000 0.5000 0.7500  4 Mn 2.57
2 Mn 0.0000 0.0000 0.9831  2 Cl 2.57, 2 Cd 2.80
3 Mn 0.0000 0.0000 0.5169  2 Cl 2.57, 2 Cd 2.80
4 Cd 0.5000 0.5000 0.2500  4 Mn 2.80, 4 Cd 3.12

9.
Computed, not measured: an optimized crystal structure of Ta2CoIr at the GGA-PBE level of DFT.

Values from the calculation:
E_form = -346 meV/atom

Cell: 4.0138 4.0148 3.7858 Å, 90.00 90.00 90.00°
With the nearest neighbours (Å) after each atom.
Positions (direct):
1 Ir 0.0000 0.5000 0.5000  8 Ta 2.76, 4 Co 2.84
2 Co 0.5000 0.0000 0.5000  8 Ta 2.76, 4 Ir 2.84
3 Ta 0.0000 0.0000 0.0000  4 Co 2.76, 4 Ir 2.76, 4 Ta 2.84
4 Ta 0.5000 0.5000 0.0000  4 Ir 2.76, 4 Co 2.76, 4 Ta 2.84

10.
Computed, not measured: an optimized crystal structure of Sr2BeGe4Pd3 at the GGA-PBE level of DFT.

Values from the calculation:
E_form = -556 meV/atom

Cell: 4.3371 4.3371 10.4811 Å, 90.00 90.00 90.00°
With the nearest neighbours (Å) after each atom.
Positions (direct):
1 Sr 0.5000 0.0000 0.2543  8 Ge 3.32-3.44, 6 Pd 3.33-3.37, 2 Be 3.37
2 Sr 0.0000 0.5000 0.7457  8 Ge 3.32-3.44, 6 Pd 3.33-3.37, 2 Be 3.37
3 Be 0.5000 0.5000 0.5000  4 Ge 2.53
4 Ge 0.5000 0.5000 0.0000  4 Pd 2.57
5 Ge 0.0000 0.0000 0.0000  4 Pd 2.57
6 Ge 0.5000 0.0000 0.6237  2 Be 2.53, 3 Pd 2.53-2.57
7 Ge 0.0000 0.5000 0.3763  2 Be 2.53, 3 Pd 2.53-2.57
8 Pd 0.0000 0.0000 0.5000  4 Ge 2.53
9 Pd 0.5000 0.0000 0.8687  5 Ge 2.57
10 Pd 0.0000 0.5000 0.1313  5 Ge 2.57

11.
Computed, not measured: an optimized crystal structure of AcCdAg3 at the GGA-PBE level of DFT.

Values from the calculation:
E_form = -157 meV/atom
ΔE to the lowest computed polymorph = 0.0196 eV/atom

Cell: 5.9297 7.0009 7.0003 Å, 120.01 90.00 90.00°
With the nearest neighbours (Å) after each atom.
Positions (direct):
1 Ac 0.7499 0.6667 0.3334  12 Ag 3.38-3.52
2 Ac 0.2501 0.3333 0.6666  12 Ag 3.38-3.52
3 Cd 0.0000 0.0000 0.0000  6 Ag 2.84, 2 Cd 2.96
4 Cd 0.5000 0.0000 0.0000  6 Ag 2.84, 2 Cd 2.96
5 Ag 0.7500 0.6007 0.8004  2 Ag 2.81, 2 Cd 2.84
6 Ag 0.2500 0.8004 0.6007  2 Ag 2.81, 2 Cd 2.84
7 Ag 0.2500 0.3993 0.1996  2 Ag 2.81, 2 Cd 2.84
8 Ag 0.7500 0.1996 0.3993  2 Ag 2.81, 2 Cd 2.84
9 Ag 0.2499 0.8003 0.1996  2 Ag 2.81, 2 Cd 2.84
10 Ag 0.7501 0.1997 0.8004  2 Ag 2.81, 2 Cd 2.84

12.
Computed, not measured: an optimized crystal structure of Hf3Si4Pd2 at the GGA-PBE level of DFT.

Values from the calculation:
Formation energy from raw total energies = -0.735 eV per atom

Cell: 4.0025 5.4209 7.8704 Å, 109.64 90.00 111.66°
With the nearest neighbours (Å) after each atom.
Positions (direct):
1 Hf 0.6279 0.2558 0.6960  7 Si 2.68-2.88, 3 Pd 2.91-2.93
2 Hf 0.0000 0.0000 0.0000  8 Si 2.90-3.09, 4 Pd 3.22
3 Hf 0.3721 0.7442 0.3040  7 Si 2.68-2.88, 3 Pd 2.91-2.93
4 Si 0.7211 0.4422 0.0611  1 Pd 2.35, 2 Si 2.38
5 Si 0.2789 0.5578 0.9389  1 Pd 2.35, 2 Si 2.38
6 Si 0.9187 0.8375 0.5821  3 Pd 2.39-2.60, 1 Si 2.42
7 Si 0.0813 0.1625 0.4179  3 Pd 2.39-2.60, 1 Si 2.42
8 Pd 0.6673 0.3346 0.3274  4 Si 2.35-2.60
9 Pd 0.3327 0.6654 0.6726  4 Si 2.35-2.60

Repeat the ninth record exactly.
Computed, not measured: an optimized crystal structure of Ta2CoIr at the GGA-PBE level of DFT.

Values from the calculation:
E_form = -346 meV/atom

Cell: 4.0138 4.0148 3.7858 Å, 90.00 90.00 90.00°
With the nearest neighbours (Å) after each atom.
Positions (direct):
1 Ir 0.0000 0.5000 0.5000  8 Ta 2.76, 4 Co 2.84
2 Co 0.5000 0.0000 0.5000  8 Ta 2.76, 4 Ir 2.84
3 Ta 0.0000 0.0000 0.0000  4 Co 2.76, 4 Ir 2.76, 4 Ta 2.84
4 Ta 0.5000 0.5000 0.0000  4 Ir 2.76, 4 Co 2.76, 4 Ta 2.84

Copy entry 6 word for word.
Computed, not measured: an optimized crystal structure of Ce4DyAs5 at the GGA-PBE level of DFT.

Values from the calculation:
E_form = -1444 meV/atom

Cell: 5.9392 7.2702 7.2702 Å, 80.40 65.89 65.89°
With the nearest neighbours (Å) after each atom.
Positions (direct):
1 Ce 0.4018 0.3988 0.7995  6 As 2.96-2.98
2 Ce 0.8006 0.7995 0.6012  6 As 2.96-2.98
3 Ce 0.2013 0.2005 0.3988  6 As 2.96-2.98
4 Ce 0.6001 0.6012 0.2005  6 As 2.96-2.98
5 Dy 0.0012 0.0000 0.0000  6 As 2.95-2.97
6 As 0.9014 0.3973 0.8020  1 Dy 2.95, 5 Ce 2.97-2.98
7 As 0.2987 0.8020 0.6027  1 Dy 2.95, 5 Ce 2.97-2.98
8 As 0.7033 0.1980 0.3973  1 Dy 2.95, 5 Ce 2.97-2.98
9 As 0.1006 0.6027 0.1980  1 Dy 2.95, 5 Ce 2.97-2.98
10 As 0.5012 0.0000 0.0000  4 Ce 2.96, 2 Dy 2.97